(1)
# La4GeOs | Alexandria | PBE | optimized geometry
# Symmetry: No. 15
# DFT formation energy, eV per atom: -0.3983
# VASP energy, eV/atom: -6.324
# Calculated density, g/cm³: 7.6
data_La4GeOs
_chemical_formula_sum 'La8 Ge2 Os2'
_space_group_name_H-M_alt 'P 1'
_space_group_IT_number 1
_space_group_name_Hall 'P 1'
_cell_length_a 6.435
_cell_length_b 8.159
_cell_length_c 8.345
_cell_angle_alpha 113.51
_cell_angle_beta 105.76
_cell_angle_gamma 103.48
loop_
_atom_site_label
_atom_site_type_symbol
_atom_site_fract_x
_atom_site_fract_y
_atom_site_fract_z
_atom_site_occupancy
Ge1 Ge 0.624 0.374 0.748 1
La1 La 0.220 0.301 0.363 1
La2 La 0.664 0.351 0.132 1
Ge2 Ge 0.376 0.626 0.252 1
La3 La 0.357 0.938 0.637 1
La4 La 0.336 0.649 0.868 1
La5 La 0.780 0.699 0.637 1
Os1 Os 0.751 0.001 0.003 1
La6 La 0.643 0.062 0.363 1
Os2 Os 0.249 0.999 0.997 1
La7 La 0.968 0.780 0.132 1
La8 La 0.032 0.220 0.868 1

***

(2)
# SrPuPt2 | Alexandria | PBE | optimized geometry
# Symmetry: No. 123
# DFT formation energy, eV per atom: -0.7565
# VASP energy, eV/atom: -7.780
# Energy above the lowest structure with this stoichiometry, meV per atom: 0
# Calculated density, g/cm³: 12.7
data_SrPuPt2
_chemical_formula_sum 'Sr1 Pu1 Pt2'
_space_group_name_H-M_alt 'P 1'
_space_group_IT_number 1
_space_group_name_Hall 'P 1'
_cell_length_a 3.577
_cell_length_b 3.577
_cell_length_c 7.375
_cell_angle_alpha 90.00
_cell_angle_beta 90.00
_cell_angle_gamma 90.00
loop_
_atom_site_label
_atom_site_type_symbol
_atom_site_fract_x
_atom_site_fract_y
_atom_site_fract_z
_atom_site_occupancy
Pu1 Pu 0.500 0.500 0.000 1
Sr1 Sr 0.500 0.500 0.500 1
Pt1 Pt 0.000 0.000 0.785 1
Pt2 Pt 0.000 0.000 0.215 1